No. 1
# Pr3PdN

Pr3PdN after structural relaxation (PBE, Alexandria via LeMat-Bulk).

Calculated values
space group = No. 221
formation energy (no corrections) = -635 meV per atom
theoretical density = 7.2 g/cm³
DFT total energy = -0.2281 Ha/atom
total magnetic moment = 0.00 μB per cell
polymorph energy (0 for the lowest one) = 102.8 meV/atom

Cell lengths 5.0007, 5.0007, 5.0007 Å; angles 90.00, 90.00, 90.00 degrees
Last column: nearest neighbours and their distance in Å.
Fractional coordinates of all 5 atoms:
Pr 0.0000 0.0000 0.5000  2 N 2.50
Pr 0.0000 0.5000 0.0000  2 N 2.50
Pr 0.5000 0.0000 0.0000  2 N 2.50
Pd 0.5000 0.5000 0.5000  12 Pr 3.54
N 0.0000 0.0000 0.0000  6 Pr 2.50

---

No. 2
# PrPdN

PrPdN after structural relaxation (PBE, Alexandria via LeMat-Bulk).

Calculated values
space group = No. 74
formation energy (no corrections) = -793 meV per atom
theoretical density = 8.0 g/cm³
DFT total energy = -0.2533 Ha/atom
total magnetic moment = 0.00 μB per cell

Cell lengths 5.1181, 5.1180, 8.2554 Å; angles 90.00, 90.00, 90.00 degrees
Last column: nearest neighbours and their distance in Å.
Fractional coordinates of all 12 atoms:
N 0.2500 0.2493 0.9999  2 Pd 2.06
N 0.2500 0.2507 0.4999  2 Pd 2.06
Pr 0.2500 0.7500 0.5001  4 N 2.56
N 0.7500 0.7493 0.5001  2 Pd 2.06
Pd 0.2500 0.2499 0.2499  2 N 2.06
Pd 0.7500 0.7499 0.2501  2 N 2.06
N 0.7500 0.7507 0.0001  2 Pd 2.06
Pr 0.7500 0.2500 0.4999  4 N 2.56
Pr 0.7500 0.2500 0.9999  4 N 2.56
Pr 0.2500 0.7500 0.0001  4 N 2.56
Pd 0.2500 0.2501 0.7499  2 N 2.06
Pd 0.7500 0.7501 0.7501  2 N 2.06

---

No. 3
# Pr12Pd3N5

Pr12Pd3N5 after structural relaxation (PBE, Alexandria via LeMat-Bulk).

Calculated values
space group = No. 230
formation energy (no corrections) = -741 meV per atom
theoretical density = 6.7 g/cm³
DFT total energy = -0.2377 Ha/atom
total magnetic moment = 0.00 μB per cell

Cell lengths 13.8826, 13.8826, 13.8826 Å; angles 109.47, 109.47, 109.47 degrees
Last column: nearest neighbours and their distance in Å.
Fractional coordinates of all 80 atoms:
N 0.8750 0.6250 0.7500  4 Pr 2.35
Pr 0.4040 0.0202 0.3176  2 N 2.35-2.60
Pr 0.9136 0.0960 0.6162  2 N 2.35-2.60
Pr 0.2974 0.4136 0.8176  2 N 2.35-2.60
Pr 0.4040 0.3838 0.5864  2 N 2.35-2.60
Pd 0.2500 0.1250 0.3750  8 Pr 3.12-3.22
N 0.0000 0.0000 0.5000  6 Pr 2.60
Pr 0.1824 0.0864 0.7026  2 N 2.35-2.60
Pd 0.7500 0.8750 0.6250  8 Pr 3.12-3.22
N 0.5000 0.5000 0.5000  6 Pr 2.60
N 0.3750 0.1250 0.7500  4 Pr 2.35
Pr 0.6162 0.5960 0.9136  2 N 2.35-2.60
N 0.0000 0.0000 0.0000  6 Pr 2.60
Pd 0.8750 0.1250 0.2500  8 Pr 3.12-3.22
N 0.8750 0.2500 0.6250  4 Pr 2.35
N 0.5000 0.0000 0.5000  6 Pr 2.60
Pr 0.5202 0.2026 0.1162  2 N 2.35-2.60
Pr 0.5864 0.7026 0.6824  2 N 2.35-2.60
N 0.0000 0.5000 0.0000  6 Pr 2.60
Pd 0.6250 0.2500 0.3750  8 Pr 3.12-3.22
Pd 0.3750 0.7500 0.6250  8 Pr 3.12-3.22
Pr 0.8176 0.9136 0.2974  2 N 2.35-2.60
Pr 0.5864 0.8838 0.4040  2 N 2.35-2.60
Pr 0.5202 0.3176 0.9040  2 N 2.35-2.60
Pr 0.8838 0.5864 0.9040  2 N 2.35-2.60
Pr 0.1162 0.4136 0.0960  2 N 2.35-2.60
N 0.2500 0.3750 0.6250  4 Pr 2.35
Pr 0.1824 0.0960 0.9798  2 N 2.35-2.60
Pr 0.1162 0.7026 0.5202  2 N 2.35-2.60
Pr 0.9136 0.8176 0.7974  2 N 2.35-2.60
Pr 0.0960 0.9136 0.1162  2 N 2.35-2.60
Pd 0.8750 0.7500 0.1250  8 Pr 3.12-3.22
Pr 0.3838 0.4040 0.0864  2 N 2.35-2.60
Pr 0.3176 0.7974 0.4136  2 N 2.35-2.60
Pr 0.4798 0.7974 0.8838  2 N 2.35-2.60
Pr 0.7974 0.3176 0.9136  2 N 2.35-2.60
Pd 0.1250 0.2500 0.8750  8 Pr 3.12-3.22
Pr 0.3838 0.9798 0.7974  2 N 2.35-2.60
Pr 0.6162 0.0202 0.2026  2 N 2.35-2.60
Pr 0.0202 0.6162 0.7026  2 N 2.35-2.60
Pr 0.7026 0.5864 0.1824  2 N 2.35-2.60
Pr 0.7026 0.1162 0.0202  2 N 2.35-2.60
Pr 0.8176 0.9040 0.0202  2 N 2.35-2.60
Pr 0.3176 0.5202 0.4040  2 N 2.35-2.60
Pd 0.6250 0.3750 0.7500  8 Pr 3.12-3.22
Pr 0.5960 0.6162 0.4136  2 N 2.35-2.60
Pr 0.9040 0.0864 0.8838  2 N 2.35-2.60
Pr 0.8838 0.2974 0.4798  2 N 2.35-2.60
Pd 0.3750 0.6250 0.2500  8 Pr 3.12-3.22
Pr 0.4136 0.2974 0.3176  2 N 2.35-2.60
Pr 0.2974 0.8838 0.9798  2 N 2.35-2.60
N 0.0000 0.5000 0.5000  6 Pr 2.60
Pr 0.0864 0.1824 0.2026  2 N 2.35-2.60
N 0.7500 0.6250 0.3750  4 Pr 2.35
Pr 0.9798 0.5960 0.1824  2 N 2.35-2.60
Pd 0.1250 0.8750 0.7500  8 Pr 3.12-3.22
Pr 0.5960 0.9798 0.6824  2 N 2.35-2.60
Pr 0.2026 0.5202 0.6162  2 N 2.35-2.60
Pr 0.6824 0.2026 0.5864  2 N 2.35-2.60
Pr 0.9040 0.8176 0.5202  2 N 2.35-2.60
N 0.6250 0.7500 0.8750  4 Pr 2.35
Pr 0.0202 0.4040 0.8176  2 N 2.35-2.60
Pr 0.4136 0.1162 0.5960  2 N 2.35-2.60
Pd 0.7500 0.3750 0.1250  8 Pr 3.12-3.22
N 0.1250 0.3750 0.2500  4 Pr 2.35
N 0.2500 0.8750 0.1250  4 Pr 2.35
Pr 0.0864 0.9040 0.3838  2 N 2.35-2.60
N 0.1250 0.7500 0.3750  4 Pr 2.35
Pd 0.2500 0.6250 0.8750  8 Pr 3.12-3.22
Pr 0.2026 0.6824 0.0864  2 N 2.35-2.60
Pr 0.4798 0.6824 0.0960  2 N 2.35-2.60
N 0.3750 0.2500 0.1250  4 Pr 2.35
Pr 0.7974 0.4798 0.3838  2 N 2.35-2.60
N 0.5000 0.0000 0.0000  6 Pr 2.60
N 0.7500 0.1250 0.8750  4 Pr 2.35
N 0.6250 0.8750 0.2500  4 Pr 2.35
Pr 0.0960 0.1824 0.4798  2 N 2.35-2.60
N 0.5000 0.5000 0.0000  6 Pr 2.60
Pr 0.6824 0.4798 0.5960  2 N 2.35-2.60
Pr 0.9798 0.3838 0.2974  2 N 2.35-2.60

---

No. 4
# Pr6PdN3

Pr6PdN3 after structural relaxation (PBE, Alexandria via LeMat-Bulk).

Calculated values
space group = No. 11
formation energy (no corrections) = -826 meV per atom
theoretical density = 6.8 g/cm³
DFT total energy = -0.2466 Ha/atom
total magnetic moment = 2.54 μB per cell

Cell lengths 3.6841, 13.2986, 11.2043 Å; angles 118.22, 90.00, 90.00 degrees
Last column: nearest neighbours and their distance in Å.
Fractional coordinates of all 20 atoms:
N 0.7500 0.1208 0.1104  5 Pr 2.41-2.60
Pr 0.7500 0.4222 0.0667  3 N 2.49-2.58
Pr 0.2500 0.5817 0.3974  3 N 2.52-2.61
Pd 0.2500 0.9222 0.2877  7 Pr 2.99-3.13
N 0.7500 0.7278 0.4836  6 Pr 2.52-2.64
N 0.2500 0.2722 0.5164  6 Pr 2.52-2.64
Pr 0.7500 0.1139 0.4572  2 N 2.64
N 0.2500 0.5650 0.1556  6 Pr 2.49-2.61
Pr 0.2500 0.2804 0.7486  3 N 2.55-2.59
Pr 0.2500 0.8861 0.5428  2 N 2.64
Pr 0.2500 0.5778 0.9333  3 N 2.49-2.58
N 0.2500 0.8792 0.8896  5 Pr 2.41-2.60
Pr 0.7500 0.4183 0.6026  3 N 2.52-2.61
N 0.7500 0.4350 0.8444  6 Pr 2.49-2.61
Pr 0.7500 0.7196 0.2514  3 N 2.55-2.59
Pr 0.2500 0.0732 0.9272  3 N 2.41-2.60
Pd 0.7500 0.0778 0.7123  7 Pr 2.99-3.13
Pr 0.7500 0.7698 0.7309  3 N 2.50-2.55
Pr 0.7500 0.9268 0.0728  3 N 2.41-2.60
Pr 0.2500 0.2302 0.2691  3 N 2.50-2.55

---

No. 5
# Pr4Pd2N

Pr4Pd2N after structural relaxation (PBE, Alexandria via LeMat-Bulk).

Calculated values
space group = No. 139
formation energy (no corrections) = -688 meV per atom
theoretical density = 7.2 g/cm³
DFT total energy = -0.2239 Ha/atom
total magnetic moment = 0.00 μB per cell

Cell lengths 4.9711, 4.9711, 8.1862 Å; angles 72.32, 72.32, 90.00 degrees
Last column: nearest neighbours and their distance in Å.
Fractional coordinates of all 7 atoms:
Pr 0.0000 0.5000 0.0000  2 N 2.49
Pr 0.8206 0.8206 0.3587  1 N 2.65, 1 Pd 2.84
Pd 0.3715 0.3715 0.2570  5 Pr 2.84-3.13
Pd 0.6285 0.6285 0.7430  5 Pr 2.84-3.13
N 0.0000 0.0000 0.0000  6 Pr 2.49-2.65
Pr 0.5000 0.0000 0.0000  2 N 2.49
Pr 0.1794 0.1794 0.6413  1 N 2.65, 1 Pd 2.84

---

No. 6
# Pr3PdN

Pr3PdN after structural relaxation (PBE, Alexandria via LeMat-Bulk).

Calculated values
space group = No. 12
formation energy (no corrections) = -738 meV per atom
theoretical density = 7.5 g/cm³
DFT total energy = -0.2319 Ha/atom
total magnetic moment = 0.00 μB per cell
polymorph energy (0 for the lowest one) = 0.0 meV/atom

Cell lengths 5.1439, 6.4326, 8.9980 Å; angles 62.19, 73.39, 66.43 degrees
Last column: nearest neighbours and their distance in Å.
Fractional coordinates of all 10 atoms:
Pr 0.3601 0.3602 0.9196  3 N 2.58-2.67
Pr 0.6399 0.6398 0.0804  3 N 2.58-2.67
Pr 0.0950 0.0086 0.8015  2 N 2.46-2.52
N 0.1284 0.6611 0.0821  6 Pr 2.46-2.67
Pr 0.8367 0.6903 0.6363  1 N 2.48
Pr 0.9050 0.9914 0.1985  2 N 2.46-2.52
Pr 0.1633 0.3097 0.3637  1 N 2.48
Pd 0.4097 0.7606 0.4199  1 Pd 2.82, 3 Pr 3.08-3.11
N 0.8716 0.3389 0.9179  6 Pr 2.46-2.67
Pd 0.5903 0.2394 0.5801  1 Pd 2.82, 3 Pr 3.08-3.11